Record 1
3
Lattice="-1.771 1.902 4.884 1.771 -1.902 4.884 1.771 1.902 -4.884" Properties=species:S:1:pos:R:3 comment="LaAgRh (PBE-GGA, optimized geometry)" m_tot_mub_per_fu=0.0 e_above_lowest_polymorph_mev_per_atom=209.2 delta_e_f_ev_per_fu=-0.8 spacegroup=Imm2 pbc="T T T"
La 0.000 0.000 0.000
Ag 0.000 0.000 6.780
Rh 0.000 0.000 3.400

=====

Record 2
14
Lattice="-4.584 4.584 4.469 4.584 -4.584 4.469 4.584 4.584 -4.469" Properties=species:S:1:pos:R:3 comment="La8AgRh5 (PBE-GGA, optimized geometry)" m_tot_mub_per_fu=0.0 delta_e_f_ev_per_fu=-8.9 spacegroup=I-4 pbc="T T T"
La 5.158 -2.925 2.904
La 1.659 -0.573 1.565
La 4.079 1.826 -0.660
La 7.510 0.573 1.565
La 2.759 -0.505 5.129
La 1.826 5.089 0.660
La 4.011 2.925 2.904
La 0.505 2.759 3.809
Ag 4.584 0.000 2.234
Rh 6.913 1.223 -1.107
Rh 1.223 2.255 1.107
Rh 0.000 0.000 4.469
Rh -2.329 3.361 3.362
Rh 3.361 2.329 5.575

=====

Record 3
5
Lattice="-2.013 2.013 6.299 2.013 -2.013 6.299 2.013 2.013 -6.299" Properties=species:S:1:pos:R:3 comment="LaAg2Rh2 (PBE-GGA, optimized geometry)" m_tot_mub_per_fu=0.6 e_above_lowest_polymorph_mev_per_atom=0.0 delta_e_f_ev_per_fu=-0.8 spacegroup=I4/mmm pbc="T T T"
La 0.000 0.000 0.000
Ag 2.013 0.000 3.150
Ag 0.000 2.013 3.150
Rh 0.000 0.000 5.055
Rh 0.000 0.000 7.544

=====

Record 4
11
Lattice="4.061 -5.814 0.000 4.061 5.814 0.000 0.000 0.000 7.280" Properties=species:S:1:pos:R:3 comment="La7Ag2Rh2 (PBE-GGA, optimized geometry)" m_tot_mub_per_fu=0.0 e_above_lowest_polymorph_mev_per_atom=73.4 delta_e_f_ev_per_fu=-3.4 spacegroup=Cmmm pbc="T T T"
La 0.000 0.000 0.000
La 2.030 2.907 1.904
La 2.030 2.907 5.376
La 2.030 -2.907 1.904
La 2.030 -2.907 5.376
La 4.061 0.000 1.820
La 4.061 0.000 5.460
Ag 1.384 0.000 3.640
Ag 6.738 0.000 3.640
Rh 4.061 2.407 0.000
Rh 4.061 -2.407 0.000

=====

Record 5
4
Lattice="3.935 0.000 0.000 0.000 3.935 0.000 0.000 0.000 5.536" Properties=species:S:1:pos:R:3 comment="LaAg2Rh (PBE-GGA, optimized geometry)" m_tot_mub_per_fu=0.0 e_above_lowest_polymorph_mev_per_atom=251.0 delta_e_f_ev_per_fu=-0.5 spacegroup=P4/mmm pbc="T T T"
La 0.000 0.000 0.000
Ag 1.967 1.967 1.458
Ag 1.967 1.967 4.078
Rh 0.000 0.000 2.768

=====

Record 6
9
Lattice="6.271 -2.750 0.000 6.271 2.750 0.000 -6.064 0.000 7.684" Properties=species:S:1:pos:R:3 comment="La6AgRh2 (PBE-GGA, optimized geometry)" m_tot_mub_per_fu=0.0 delta_e_f_ev_per_fu=-3.2 spacegroup=C2/m pbc="T T T"
La -0.849 0.000 1.284
La -1.680 0.000 6.759
La 1.511 0.000 3.928
La 4.967 0.000 3.756
La 8.158 0.000 0.925
La 7.327 0.000 6.400
Ag -3.032 0.000 3.842
Rh 2.615 0.000 1.453
Rh 3.863 0.000 6.231